The following is a GGA-PBE calculation of a geometry-optimized LaH4Br4 structure, from the Alexandria database.

Summary:
Space-group type: I4/m, No. 87
E_tot: -27.90 eV/f.u.
Calculated density: 3.87 g/cm3
Fermi-level density of states: 3.272 states/eV/cell

a b c (Å): 3.869 7.419 7.419
angles (deg): 86.10 74.88 74.88
Fractional positions:
1 La 0.500 0.500 0.000
2 H 0.554 0.210 0.181
3 H 0.446 0.790 0.819
4 H 0.265 0.681 0.290
5 H 0.735 0.319 0.710
6 Br 0.056 0.202 0.186
7 Br 0.944 0.798 0.814
8 Br 0.758 0.686 0.298
9 Br 0.242 0.314 0.702